# 1
PBE Lu2Ti2O7, relaxed; VASP energy = -8.751 eV/atom; formation energy (no corrections) = -36.72 eV/f.u.; DOS at the Fermi energy = 0.00 states/eV/cell; crystal system = cubic
1.0
7.102 0.000 0.000
3.551 6.150 0.000
3.551 2.050 5.798
Lu Ti O
4 4 14
Cartesian
3.551 2.050 3.624 Lu
3.551 4.100 0.725 Lu
5.326 1.025 0.725 Lu
1.775 1.025 0.725 Lu
7.102 4.100 0.725 Ti
7.102 2.050 3.624 Ti
5.326 5.125 3.624 Ti
8.877 5.125 3.624 Ti
3.551 2.050 1.450 O
0.000 0.000 0.000 O
9.171 7.005 3.140 O
5.621 4.955 1.690 O
9.171 5.295 5.558 O
10.652 4.440 3.140 O
10.652 7.860 5.558 O
12.133 7.005 3.140 O
12.133 5.295 5.558 O
7.102 2.390 1.690 O
7.102 5.810 4.108 O
8.583 3.245 4.108 O
5.621 3.245 4.108 O
8.583 4.955 1.690 O

# 2
PBE Lu2TiO5, relaxed; VASP energy = -8.679 eV/atom; relative energy among the computed polymorphs = 0 meV/atom; formation energy (no corrections) = -27.71 eV/f.u.; DOS at the Fermi energy = 0.00 states/eV/cell; crystal system = orthorhombic
1.0
-0.992 2.154 -2.686
-6.990 -1.034 1.754
0.583 11.962 9.374
Lu O Ti
8 20 4
Cartesian
-0.822 1.520 0.328 Lu
-0.820 9.172 6.461 Lu
-3.103 4.046 0.806 Lu
-3.270 8.246 4.234 Lu
-4.131 4.835 4.208 Lu
-4.297 9.035 7.636 Lu
-6.580 3.910 1.981 Lu
-6.578 11.562 8.114 Lu
-1.251 3.672 -0.179 O
-1.043 6.951 2.373 O
-1.122 9.278 4.268 O
-1.791 1.487 -1.731 O
-2.049 4.176 2.910 O
-1.764 11.306 6.131 O
-2.402 6.184 4.650 O
-2.899 1.927 1.421 O
-2.625 11.504 8.998 O
-2.736 8.240 6.422 O
-4.664 4.842 2.020 O
-4.775 1.577 -0.556 O
-4.501 11.155 7.021 O
-4.998 6.898 3.792 O
-5.636 1.776 2.311 O
-5.351 8.906 5.532 O
-5.609 11.595 10.173 O
-6.278 3.804 4.174 O
-6.357 6.131 6.069 O
-6.149 9.410 8.621 O
-0.887 5.494 3.537 Ti
-2.814 12.297 7.313 Ti
-4.586 0.785 1.129 Ti
-6.513 7.588 4.905 Ti

# 3
PBE Lu2TiO5, relaxed; VASP energy = -8.634 eV/atom; relative energy among the computed polymorphs = 45 meV/atom; formation energy (no corrections) = -27.35 eV/f.u.; DOS at the Fermi energy = 0.00 states/eV/cell; crystal system = monoclinic
1.0
-3.741 -2.537 -4.365
-0.344 -5.873 -2.206
-5.645 -3.746 3.092
Lu Ti O
4 2 10
Cartesian
-5.733 -5.831 -0.079 Lu
-2.864 -4.003 -1.595 Lu
-6.866 -8.152 -1.884 Lu
-3.997 -6.325 -3.400 Lu
-2.822 -1.873 1.546 Ti
0.000 0.000 0.000 Ti
-6.532 -7.766 0.538 O
-4.925 -4.699 -1.780 O
-7.510 -8.887 -3.770 O
-6.035 -4.167 1.205 O
-3.696 -7.989 -4.685 O
-2.220 -3.268 0.290 O
-4.805 -7.456 -1.699 O
-7.385 -5.925 -1.672 O
-3.198 -4.390 -4.018 O
-2.345 -6.231 -1.808 O

# 4
PBE Lu2TiO5, relaxed; VASP energy = -8.659 eV/atom; relative energy among the computed polymorphs = 20 meV/atom; formation energy (no corrections) = -27.54 eV/f.u.; DOS at the Fermi energy = 0.00 states/eV/cell; crystal system = orthorhombic
1.0
5.748 -0.011 0.000
-4.334 3.776 0.000
0.000 0.000 10.355
Lu Ti O
4 2 10
Cartesian
-2.885 3.232 4.469 Lu
-2.885 3.232 0.709 Lu
4.300 0.533 5.886 Lu
4.300 0.533 9.646 Lu
-2.597 3.124 7.766 Ti
4.011 0.641 2.589 Ti
-3.832 3.588 9.089 O
-3.832 3.588 6.443 O
2.796 1.098 4.263 O
2.796 1.098 0.914 O
-1.604 2.751 2.589 O
3.018 1.014 7.766 O
-1.382 2.667 6.092 O
-1.382 2.667 9.440 O
5.247 0.177 1.266 O
5.247 0.177 3.912 O